Compound: Pr2ThAs2S2
Source: Alexandria via LeMat-Bulk
Functional: PBE-GGA
Structure: optimized geometry

Cell lengths 8.145, 8.145, 8.145 Å; angles 139.58, 139.58, 58.49 degrees
Fractional positions:
Pr (0.123, 0.123, 0.000)
Pr (0.877, 0.877, 0.000)
Th (0.500, 0.500, 0.000)
As (0.000, 0.500, 0.500)
As (0.500, 0.000, 0.500)
S (0.306, 0.306, 0.000)
S (0.694, 0.694, 0.000)

Results
**Formation energy (no corrections)**: -1.22 eV per atom
**VASP energy**: -6.152 eV per atom
**Magnetization**: 0.000 μB/f.u.
**Mass density**: 5.4 g/cm3